A relaxed NaSnSeN2 crystal. Source: Alexandria, functional PBE.

The structure in CIF format:
```
data_NaSnSeN2
_chemical_formula_sum 'Na1 Sn1 Se1 N2'
_cell_length_a 4.2753
_cell_length_b 5.4993
_cell_length_c 4.2753
_cell_angle_alpha 90.00
_cell_angle_beta 90.00
_cell_angle_gamma 90.00
_symmetry_space_group_name_H-M 'P 1'
_symmetry_Int_Tables_number 1
loop_
_symmetry_equiv_pos_as_xyz
'x,y,z'
loop_
_atom_site_label
_atom_site_fract_x
_atom_site_fract_y
_atom_site_fract_z
_atom_site_occupancy
Se1 0.0000 0.5000 0.0000 1
N1 0.0000 0.0000 0.5000 1
Sn1 0.0000 0.0000 0.0000 1
Na1 0.5000 0.5000 0.5000 1
N2 0.5000 0.0000 0.0000 1
```

- VASP energy (eV per atom) = -4.28
- magnetization (μB/cell) = 3.00
- ΔE to the lowest computed polymorph (eV/f.u.) = 0.00
- SG = P4/mmm